No. 1
Pm3Er2Sc: relaxed, PBE.

Output
- E: -27.42 eV/cell
- Relative energy among the computed polymorphs: 0.352 eV per atom
- Energy of formation: 221.3 kJ/mol of formula units

a b c (Å): 3.463 5.769 10.279
angles (deg): 106.30 99.70 90.00
Element x y z (fractional)
Pm (0.188, 0.188, 0.377)
Pm (0.000, 0.500, 0.000)
Pm (0.812, 0.812, 0.623)
Sc (0.000, 0.000, 0.000)
Er (0.363, 0.363, 0.726)
Er (0.637, 0.637, 0.274)

No. 2
Dy3Co3Ni: relaxed, PBE.

Output
- E: -85.17 eV/cell
- Energy of formation: -162.0 kJ/mol of formula units

a b c (Å): 4.179 5.334 12.360
angles (deg): 90.00 90.00 113.06
Element x y z (fractional)
Co (0.816, 0.631, 0.750)
Co (0.067, 0.134, 0.413)
Co (0.184, 0.369, 0.250)
Co (0.933, 0.866, 0.913)
Co (0.067, 0.134, 0.087)
Co (0.933, 0.866, 0.587)
Ni (0.500, 0.000, 0.000)
Ni (0.500, 0.000, 0.500)
Dy (0.777, 0.554, 0.103)
Dy (0.223, 0.446, 0.603)
Dy (0.514, 0.028, 0.750)
Dy (0.486, 0.972, 0.250)
Dy (0.777, 0.554, 0.397)
Dy (0.223, 0.446, 0.897)

No. 3
Er6Bi2PbSe3: relaxed, PBE.

Output
- E: -63.39 eV/cell
- Raw formation energy: -27.1 kcal/mol of atoms

a b c (Å): 4.253 8.484 9.484
angles (deg): 102.56 102.96 90.00
Element x y z (fractional)
Bi (0.167, 0.335, 0.334)
Bi (0.833, 0.665, 0.666)
Se (0.832, 0.166, 0.664)
Se (0.500, 0.500, 0.000)
Se (0.168, 0.834, 0.336)
Er (0.004, 0.747, 0.009)
Er (0.662, 0.595, 0.324)
Er (0.332, 0.929, 0.664)
Er (0.996, 0.253, 0.991)
Er (0.338, 0.405, 0.676)
Er (0.668, 0.071, 0.336)
Pb (0.500, 0.000, 0.000)

> Look up the E of the third one.

-63.39 eV/cell